(1)
# LaTbDy4Ho2 | Alexandria via LeMat-Bulk | PBE | optimized geometry
data_LaTbDy4Ho2
_cell_length_a 12.332
_cell_length_b 7.140
_cell_length_c 12.346
_cell_angle_alpha 90.00
_cell_angle_beta 109.40
_cell_angle_gamma 90.00
_symmetry_space_group_name_H-M 'C 1 2/m 1'
_symmetry_Int_Tables_number 12
_symmetry_space_group_name_Hall '-C 2y'
loop_
_atom_site_label
_atom_site_type_symbol
_atom_site_fract_x
_atom_site_fract_y
_atom_site_fract_z
La1 La 0.250 0.250 0.000
Tb1 Tb 0.000 0.000 0.000
Tb2 Tb 0.000 0.000 0.500
Dy1 Dy 0.001 0.250 0.253
Dy2 Dy 0.248 0.500 0.746
Dy3 Dy 0.249 0.000 0.746
Ho1 Ho 0.000 0.500 0.000
Ho2 Ho 0.000 0.500 0.500
Ho3 Ho 0.250 0.250 0.500
# **E_tot**: -147.88 eV per cell
# **Calculated volume**: 32.0 Å³/atom
# **DFT formation energy**: 0.019 eV per atom
# **Fermi-level density of states**: 1.338 states/eV per atom



(2)
# BeC3Br | Alexandria via LeMat-Bulk | PBE | optimized geometry
data_BeC3Br
_cell_length_a 3.786
_cell_length_b 3.786
_cell_length_c 3.786
_cell_angle_alpha 90.00
_cell_angle_beta 90.00
_cell_angle_gamma 90.00
_symmetry_space_group_name_H-M 'P m -3 m'
_symmetry_Int_Tables_number 221
_symmetry_space_group_name_Hall '-P 4 2 3'
loop_
_atom_site_label
_atom_site_type_symbol
_atom_site_fract_x
_atom_site_fract_y
_atom_site_fract_z
Be1 Be 0.000 0.000 0.000
C1 C 0.000 0.000 0.500
Br1 Br 0.500 0.500 0.500
# **E_tot**: -18.99 eV per cell
# **Formation energy from raw total energies**: 2.817 eV per atom
# **Relative energy among the computed polymorphs**: 0 meV per atom
# **Calculated volume**: 10.9 Å³/atom
# **Fermi-level density of states**: 0.592 states/eV per atom



(3)
# Mn2Zn | Alexandria via LeMat-Bulk | PBE | optimized geometry
data_Mn2Zn
_cell_length_a 5.956
_cell_length_b 5.956
_cell_length_c 5.956
_cell_angle_alpha 90.00
_cell_angle_beta 90.00
_cell_angle_gamma 90.00
_symmetry_space_group_name_H-M 'P a -3'
_symmetry_Int_Tables_number 205
_symmetry_space_group_name_Hall '-P 2ac 2ab 3'
loop_
_atom_site_label
_atom_site_type_symbol
_atom_site_fract_x
_atom_site_fract_y
_atom_site_fract_z
Mn1 Mn 0.157 0.157 0.157
Zn1 Zn 0.000 0.000 0.500
# **E_tot**: -69.02 eV per cell
# **Calculated volume**: 17.6 Å³/atom
# **DFT formation energy**: 0.786 eV per atom
# **Fermi-level density of states**: 0.689 states/eV per atom